Material: K2LiTcH6
Method: DFT, PBE
State: relaxed

a = 5.560 Å, b = 5.560 Å, c = 5.560 Å
α = 119.96°, β = 119.96°, γ = 90.07°
Fractional coordinates of all 10 atoms:
1 K 0.250 0.750 0.500
2 K 0.750 0.250 0.500
3 Li 0.000 0.000 0.000
4 Tc 0.500 0.500 0.000
5 H 0.270 0.270 0.000
6 H 0.270 0.270 0.540
7 H 0.270 0.730 0.000
8 H 0.730 0.270 0.000
9 H 0.730 0.730 0.000
10 H 0.730 0.730 0.460

Spin magnetization in μB per formula unit: 2.000
Mass density in g cm⁻³: 2.58
Calculated total energy in eV per atom: -3.539